Material: NaSbO12
Method: DFT, PBE
State: optimized geometry

- E_form (uncorrected): 905 meV/atom
- Raw total energy: -3.7336 eV/atom
- Total magnetic moment: 0.29 μB per atom
- Volume: 21.666 Å³ per atom

a = 9.5020 Å, b = 9.5020 Å, c = 9.5020 Å
α = 60.00°, β = 60.00°, γ = 60.00°
Sites, in units of the cell vectors:
O: 0.2918 0.4501 0.8080
O: 0.7999 0.7999 0.9582
O: 0.9582 0.7999 0.7999
O: 0.4420 0.7999 0.9582
O: 0.7999 0.7999 0.4420
O: 0.9582 0.4420 0.7999
O: 0.4420 0.9582 0.7999
O: 0.8080 0.4501 0.4501
O: 0.4501 0.4501 0.8080
O: 0.4501 0.8080 0.4501
O: 0.9582 0.7999 0.4420
O: 0.4501 0.8080 0.2918
O: 0.4501 0.2918 0.8080
O: 0.8080 0.4501 0.2918
O: 0.8080 0.2918 0.4501
O: 0.7999 0.9582 0.4420
O: 0.2918 0.4501 0.4501
O: 0.2918 0.8080 0.4501
O: 0.4501 0.2918 0.4501
O: 0.7999 0.4420 0.7999
O: 0.4501 0.4501 0.2918
O: 0.7999 0.9582 0.7999
O: 0.7999 0.4420 0.9582
O: 0.4420 0.7999 0.7999
Na: 0.7500 0.7500 0.7500
Na: 0.5000 0.5000 0.5000
Sb: 0.0000 0.0000 0.0000
Sb: 0.2500 0.2500 0.2500